NaTaAg2C after structural relaxation, computed with PBE-GGA.

Calculated volume ... 119 Å³ per cell
Space-group type ... P4/mmm
ΔE_f ... 1018 meV/atom

a b c (Å): 5.407 4.075 5.407
angles (deg): 90.00 90.00 90.00
Site moments in Bohr magnetons follow the coordinates.
Fractional coordinates of all 5 atoms:
Ag  0.000  0.000  0.500  0.01
Ag  0.500  0.000  0.000  0.01
Na  0.500  0.500  0.500  0.00
C  0.000  0.500  0.000  -0.01
Ta  0.000  0.000  0.000  0.11